Record 1
BeHg2As: relaxed, PBE.

a b c (Å): 3.0869 3.0869 9.3403
angles (deg): 90.00 90.00 103.00
Positions (direct):
1 Be 0.5000 0.5000 0.7169
2 As 0.0000 0.0000 0.5894
3 Hg 0.0000 0.0000 0.9389
4 Hg 0.5000 0.5000 0.2547

formation enthalpy at 0 K: 283 meV per atom
energy above the lowest structure with this stoichiometry: 0.224 eV per atom

Record 2
SmTl2Rh: relaxed, PBE.

a b c (Å): 3.5308 3.5308 7.3272
angles (deg): 90.00 90.00 90.00
Positions (direct):
1 Tl 0.0000 0.0000 0.7921
2 Tl 0.0000 0.0000 0.2079
3 Rh 0.5000 0.5000 0.0000
4 Sm 0.5000 0.5000 0.5000

formation enthalpy at 0 K: -149 meV per atom

Record 3
PuHf3Al8: relaxed, PBE.

a b c (Å): 5.3120 5.3120 8.8516
angles (deg): 90.00 90.00 120.00
Each line ends with the local moment (μB).
Positions (direct):
1 Pu 0.0000 0.0000 0.5645  5.29
2 Hf 0.6667 0.3333 0.4289  0.20
3 Hf 0.6667 0.3333 0.0645  0.11
4 Hf 0.0000 0.0000 0.9331  0.03
5 Al 0.3333 0.6667 0.4989  -0.01
6 Al 0.3333 0.6667 0.0033  0.00
7 Al 0.5039 0.0078 0.7577  0.00
8 Al 0.5039 0.4961 0.7577  0.00
9 Al 0.9922 0.4961 0.7577  0.00
10 Al 0.1625 0.3249 0.2446  0.00
11 Al 0.1625 0.8375 0.2446  0.00
12 Al 0.6751 0.8375 0.2446  0.00

formation enthalpy at 0 K: -377 meV per atom

Record 4
CeYPu2Se4: relaxed, PBE.

a b c (Å): 4.1270 7.2645 7.1145
angles (deg): 109.34 90.00 90.00
Each line ends with the local moment (μB).
Positions (direct):
1 Ce 0.5000 0.5000 0.0000  0.64
2 Y 0.0000 0.0000 0.0000  -0.04
3 Pu 0.5000 0.0000 0.5000  -5.35
4 Pu 0.0000 0.5000 0.5000  5.43
5 Se 0.5000 0.2455 0.2482  -0.02
6 Se 0.5000 0.7545 0.7518  -0.02
7 Se 0.0000 0.2438 0.7479  0.02
8 Se 0.0000 0.7562 0.2521  0.02

E_form (uncorrected): -1671 meV/atom

Record 5
Sc2PaFe: relaxed, PBE.

a b c (Å): 5.8039 6.5893 8.9755
angles (deg): 90.00 90.00 90.00
Positions (direct):
1 Sc 0.1669 0.6711 0.0653
2 Sc 0.3331 0.1711 0.4347
3 Sc 0.8331 0.3289 0.5653
4 Sc 0.6669 0.8289 0.9347
5 Sc 0.8331 0.3289 0.9347
6 Sc 0.6669 0.8289 0.5653
7 Sc 0.1669 0.6711 0.4347
8 Sc 0.3331 0.1711 0.0653
9 Pa 0.6580 0.5530 0.2500
10 Pa 0.8420 0.0530 0.2500
11 Pa 0.3420 0.4470 0.7500
12 Pa 0.1580 0.9470 0.7500
13 Fe 0.0163 0.3593 0.2500
14 Fe 0.4837 0.8593 0.2500
15 Fe 0.9837 0.6407 0.7500
16 Fe 0.5163 0.1407 0.7500

formation enthalpy at 0 K: -190 meV per atom

Record 6
Cs2MgHgSb: relaxed, PBE.

a b c (Å): 7.5948 7.5948 5.4565
angles (deg): 90.00 90.00 90.00
Positions (direct):
1 Cs 0.0000 0.5000 0.0000
2 Cs 0.5000 0.0000 0.0000
3 Sb 0.0000 0.0000 0.0000
4 Mg 0.0000 0.0000 0.5000
5 Hg 0.5000 0.5000 0.5000

E_form (uncorrected): -160 meV/atom